[1]
{
  "formula": "Pr3Er4Th",
  "functional": "GGA-PBE",
  "state": "optimized geometry",
  "dft_energy_ev_per_atom": -4.9488,
  "polymorph_energy_ev_per_atom": 0.000,
  "ef_kj_per_mol_fu": 40.4,
  "lattice": [[6.291, 0.000, 0.000], [0.000, 7.251, 0.000], [0.000, 0.000, 11.615]],
  "species": ["Pr", "Er", "Er", "Er", "Er", "Th", "Er", "Er", "Pr", "Th", "Pr", "Pr", "Pr", "Er", "Er", "Pr"],
  "frac_coords": [[0.138, 0.379, 0.500], [0.985, 0.123, 0.752], [0.485, 0.877, 0.252], [0.146, 0.881, 0.000], [0.485, 0.877, 0.748], [0.153, 0.366, 0.000], [0.646, 0.119, 0.500], [0.985, 0.123, 0.248], [0.638, 0.621, 0.000], [0.653, 0.634, 0.500], [0.478, 0.375, 0.746], [0.978, 0.625, 0.754], [0.978, 0.625, 0.246], [0.152, 0.874, 0.500], [0.652, 0.126, 0.000], [0.478, 0.375, 0.254]]
}

=====

[2]
{
  "formula": "Ni6Pt",
  "functional": "GGA-PBE",
  "state": "optimized geometry",
  "dft_energy_ev_per_atom": -5.8336,
  "polymorph_energy_ev_per_atom": 0.000,
  "ef_kj_per_mol_fu": -10.3,
  "lattice": [[2.513, 0.439, -0.424], [-0.230, 6.045, -2.972], [-0.307, -0.443, 5.601]],
  "species": ["Ni", "Ni", "Ni", "Ni", "Ni", "Pt", "Ni"],
  "frac_coords": [[0.355, 0.433, 0.142], [0.221, 0.853, 0.293], [0.779, 0.147, 0.707], [0.645, 0.567, 0.858], [0.928, 0.705, 0.560], [0.500, 0.000, 0.000], [0.072, 0.295, 0.440]]
}

=====

[3]
{
  "formula": "CaAlPbN2",
  "functional": "GGA-PBE",
  "state": "optimized geometry",
  "dft_energy_ev_per_atom": -3.6679,
  "raw_formation_energy_ev_per_fu": 7.8,
  "lattice": [[4.402, 0.000, 0.000], [0.000, 6.061, 0.000], [0.000, 0.000, 4.402]],
  "species": ["Ca", "N", "N", "Al", "Pb"],
  "frac_coords": [[0.000, 0.000, 0.000], [0.000, 0.000, 0.500], [0.500, 0.000, 0.000], [0.500, 0.500, 0.500], [0.000, 0.500, 0.000]]
}

=====

[4]
{
  "formula": "NaMg3Al8",
  "functional": "GGA-PBE",
  "state": "optimized geometry",
  "dft_energy_ev_per_atom": -3.0117,
  "ef_kj_per_mol_fu": -9.4,
  "lattice": [[5.479, 0.000, 0.000], [-2.739, 4.745, 0.000], [0.000, 0.000, 8.919]],
  "species": ["Al", "Al", "Al", "Al", "Na", "Mg", "Al", "Al", "Mg", "Mg", "Al", "Al"],
  "frac_coords": [[0.504, 0.007, 0.753], [0.504, 0.496, 0.753], [0.163, 0.837, 0.248], [0.674, 0.837, 0.248], [0.000, 0.000, 0.564], [0.667, 0.333, 0.063], [0.993, 0.496, 0.753], [0.333, 0.667, 0.500], [0.667, 0.333, 0.436], [0.000, 0.000, 0.935], [0.333, 0.667, 0.001], [0.163, 0.326, 0.248]]
}

=====

[5]
{
  "formula": "BaZn3Rh",
  "functional": "GGA-PBE",
  "state": "optimized geometry",
  "dft_energy_ev_per_atom": -2.6556,
  "polymorph_energy_ev_per_atom": 0.320,
  "ef_kj_per_mol_fu": -17.5,
  "lattice": [[4.713, 0.000, 0.000], [0.000, 4.713, 0.000], [2.356, 2.356, 12.144]],
  "species": ["Ba", "Zn", "Ba", "Rh", "Zn", "Rh", "Zn", "Zn", "Zn", "Zn"],
  "frac_coords": [[0.000, 0.000, 0.000], [0.126, 0.374, 0.747], [0.250, 0.750, 0.500], [0.623, 0.123, 0.754], [0.593, 0.593, 0.815], [0.877, 0.377, 0.246], [0.122, 0.874, 0.253], [0.626, 0.874, 0.253], [0.126, 0.878, 0.747], [0.407, 0.407, 0.185]]
}

=====

[6]
{
  "formula": "Te2SO",
  "functional": "GGA-PBE",
  "state": "optimized geometry",
  "dft_energy_ev_per_atom": -3.3278,
  "polymorph_energy_ev_per_atom": 0.454,
  "raw_formation_energy_ev_per_fu": 2.1,
  "lattice": [[0.000, 3.326, 3.326], [3.326, 0.000, 3.326], [3.326, 3.326, 0.000]],
  "species": ["Te", "Te", "S", "O"],
  "frac_coords": [[0.250, 0.250, 0.250], [0.750, 0.750, 0.750], [0.500, 0.500, 0.500], [0.000, 0.000, 0.000]]
}

=====

[7]
{
  "formula": "Tl2CdCl",
  "functional": "GGA-PBE",
  "state": "optimized geometry",
  "dft_energy_ev_per_atom": -2.2169,
  "polymorph_energy_ev_per_atom": 0.042,
  "raw_formation_energy_ev_per_fu": -1.4,
  "lattice": [[9.689, -0.006, -0.004], [8.923, 3.775, -0.004], [8.923, 1.807, 3.315]],
  "species": ["Tl", "Tl", "Cl", "Cd"],
  "frac_coords": [[0.005, 0.005, 0.005], [0.495, 0.495, 0.495], [0.750, 0.750, 0.750], [0.250, 0.250, 0.250]]
}

=====

[8]
{
  "formula": "BaGaB2Te",
  "functional": "GGA-PBE",
  "state": "optimized geometry",
  "dft_energy_ev_per_atom": -2.4503,
  "raw_formation_energy_ev_per_fu": 9.2,
  "lattice": [[5.391, 0.000, 0.000], [0.000, 6.556, 0.000], [0.000, 0.000, 5.391]],
  "species": ["B", "Ba", "B", "Ga", "Te"],
  "frac_coords": [[0.500, 0.000, 0.000], [0.000, 0.000, 0.000], [0.000, 0.000, 0.500], [0.500, 0.500, 0.500], [0.000, 0.500, 0.000]]
}